[1]
# Sc15C19 | Alexandria | SCAN | PBEsol geometry
# ΔE_f in meV/atom: -544
# Mass density in kg/m³: 3714
# VASP energy in eV for the cell shown: -847.91
data_Sc15C19
_chemical_formula_sum 'Sc30 C38'
_symmetry_space_group_name_H-M 'P 4/m n c'
_symmetry_Int_Tables_number 128
_symmetry_space_group_name_Hall '-P 4 2n'
_cell_length_a 7.462
_cell_length_b 7.462
_cell_length_c 14.493
_cell_angle_alpha 90.00
_cell_angle_beta 90.00
_cell_angle_gamma 90.00
loop_
_atom_site_label
_atom_site_type_symbol
_atom_site_fract_x
_atom_site_fract_y
_atom_site_fract_z
Sc1 Sc 0.000 0.000 0.000
Sc2 Sc 0.000 0.000 0.334
Sc3 Sc 0.094 0.297 0.500
Sc4 Sc 0.099 0.716 0.148
C1 C 0.000 0.000 0.162
C2 C 0.000 0.000 0.500
C3 C 0.094 0.303 0.334
C4 C 0.103 0.698 0.000
C5 C 0.152 0.348 0.250

***

[2]
# Sc3CSe | Alexandria | SCAN | PBEsol geometry
# ΔE_f (raw) in kJ/mol of atoms: 70.6
# Mass density in kg/m³: 3323
# VASP energy in eV for the cell shown: -69.23
data_Sc3CSe
_chemical_formula_sum 'Sc3 C1 Se1'
_symmetry_space_group_name_H-M 'P m -3 m'
_symmetry_Int_Tables_number 221
_symmetry_space_group_name_Hall '-P 4 2 3'
_cell_length_a 4.832
_cell_length_b 4.832
_cell_length_c 4.832
_cell_angle_alpha 90.00
_cell_angle_beta 90.00
_cell_angle_gamma 90.00
loop_
_atom_site_label
_atom_site_type_symbol
_atom_site_fract_x
_atom_site_fract_y
_atom_site_fract_z
Sc1 Sc 0.000 0.000 0.500
C1 C 0.500 0.500 0.500
Se1 Se 0.000 0.000 0.000

***

[3]
# ScC3Se | Alexandria | SCAN | PBEsol geometry
# ΔE_f (raw) in kJ/mol of atoms: 262.0
# Mass density in kg/m³: 3521
# VASP energy in eV for the cell shown: -51.04
data_ScC3Se
_chemical_formula_sum 'Sc1 C3 Se1'
_symmetry_space_group_name_H-M 'P m -3 m'
_symmetry_Int_Tables_number 221
_symmetry_space_group_name_Hall '-P 4 2 3'
_cell_length_a 4.225
_cell_length_b 4.225
_cell_length_c 4.225
_cell_angle_alpha 90.00
_cell_angle_beta 90.00
_cell_angle_gamma 90.00
loop_
_atom_site_label
_atom_site_type_symbol
_atom_site_fract_x
_atom_site_fract_y
_atom_site_fract_z
Sc1 Sc 0.000 0.000 0.000
C1 C 0.000 0.000 0.500
Se1 Se 0.500 0.500 0.500

***

[4]
# ScSi3C | Alexandria | SCAN | PBEsol geometry
# ΔE_f (raw) in kJ/mol of atoms: 60.4
# Mass density in kg/m³: 3368
# VASP energy in eV for the cell shown: -51.25
data_ScSi3C
_chemical_formula_sum 'Sc1 Si3 C1'
_symmetry_space_group_name_H-M 'P m -3 m'
_symmetry_Int_Tables_number 221
_symmetry_space_group_name_Hall '-P 4 2 3'
_cell_length_a 4.114
_cell_length_b 4.114
_cell_length_c 4.114
_cell_angle_alpha 90.00
_cell_angle_beta 90.00
_cell_angle_gamma 90.00
loop_
_atom_site_label
_atom_site_type_symbol
_atom_site_fract_x
_atom_site_fract_y
_atom_site_fract_z
Sc1 Sc 0.000 0.000 0.000
Si1 Si 0.000 0.500 0.500
C1 C 0.500 0.500 0.500

***

[5]
# Sc3SnC | Alexandria | SCAN | PBEsol geometry
# ΔE_f in meV/atom: -904
# Mass density in kg/m³: 4892
# VASP energy in eV for the cell shown: -93.25
data_Sc3SnC
_chemical_formula_sum 'Sc3 Sn1 C1'
_symmetry_space_group_name_H-M 'P m -3 m'
_symmetry_Int_Tables_number 221
_symmetry_space_group_name_Hall '-P 4 2 3'
_cell_length_a 4.484
_cell_length_b 4.484
_cell_length_c 4.484
_cell_angle_alpha 90.00
_cell_angle_beta 90.00
_cell_angle_gamma 90.00
loop_
_atom_site_label
_atom_site_type_symbol
_atom_site_fract_x
_atom_site_fract_y
_atom_site_fract_z
Sc1 Sc 0.000 0.000 0.500
Sn1 Sn 0.500 0.500 0.500
C1 C 0.000 0.000 0.000

***

[6]
# SrSc3C | Alexandria | SCAN | PBEsol geometry
# ΔE_f in meV/atom: 2709
# Mass density in kg/m³: 3278
# VASP energy in eV for the cell shown: -61.54
data_SrSc3C
_chemical_formula_sum 'Sr1 Sc3 C1'
_symmetry_space_group_name_H-M 'P m -3 m'
_symmetry_Int_Tables_number 221
_symmetry_space_group_name_Hall '-P 4 2 3'
_cell_length_a 4.916
_cell_length_b 4.916
_cell_length_c 4.916
_cell_angle_alpha 90.00
_cell_angle_beta 90.00
_cell_angle_gamma 90.00
loop_
_atom_site_label
_atom_site_type_symbol
_atom_site_fract_x
_atom_site_fract_y
_atom_site_fract_z
Sr1 Sr 0.000 0.000 0.000
Sc1 Sc 0.000 0.000 0.500
C1 C 0.500 0.500 0.500